(1)
# Li3Cl5 | the Alexandria database | GGA-PBE | relaxed
# **Calculated volume**: 25.89 A^3/atom
# **Energy relative to the elements, uncorrected**: -1178 meV per atom
# **Energy above the lowest structure with this stoichiometry**: 0.52 eV per formula unit
data_Li3Cl5
_symmetry_space_group_name_H-M 'C m m m'
_symmetry_Int_Tables_number 65
_symmetry_space_group_name_Hall '-C 2 2'
_cell_length_a 7.097
_cell_length_b 7.153
_cell_length_c 8.159
_cell_angle_alpha 90.00
_cell_angle_beta 90.00
_cell_angle_gamma 90.00
loop_
_atom_site_label
_atom_site_type_symbol
_atom_site_fract_x
_atom_site_fract_y
_atom_site_fract_z
_atom_site_occupancy
Li1 Li 0.000 0.000 0.000 1
Li2 Li 0.000 0.253 0.500 1
Cl1 Cl 0.000 0.500 0.000 1
Cl2 Cl 0.248 0.000 0.500 1
Cl3 Cl 0.250 0.250 0.000 1

***

(2)
# LiCl | the Alexandria database | GGA-PBE | relaxed
# **Calculated volume**: 24.18 A^3/atom
# **Energy relative to the elements, uncorrected**: -1790 meV per atom
data_LiCl
_symmetry_space_group_name_H-M 'R -3 m'
_symmetry_Int_Tables_number 166
_symmetry_space_group_name_Hall '-R 3 2"'
_cell_length_a 4.0596
_cell_length_b 4.0596
_cell_length_c 20.3269
_cell_angle_alpha 90.00
_cell_angle_beta 90.00
_cell_angle_gamma 120.00
loop_
_atom_site_label
_atom_site_type_symbol
_atom_site_fract_x
_atom_site_fract_y
_atom_site_fract_z
_atom_site_occupancy
Li1 Li 0.0000 0.0000 0.1144 1
Cl1 Cl 0.0000 0.0000 0.2365 1

***

(3)
# LiCl | the Alexandria database | GGA-PBE | relaxed
# **Calculated volume**: 22.06 A^3/atom
# **Energy relative to the elements, uncorrected**: -1822 meV per atom
data_LiCl
_symmetry_space_group_name_H-M 'P 42/m n m'
_symmetry_Int_Tables_number 136
_symmetry_space_group_name_Hall '-P 4n 2n'
_cell_length_a 6.657
_cell_length_b 6.657
_cell_length_c 3.981
_cell_angle_alpha 90.00
_cell_angle_beta 90.00
_cell_angle_gamma 90.00
loop_
_atom_site_label
_atom_site_type_symbol
_atom_site_fract_x
_atom_site_fract_y
_atom_site_fract_z
_atom_site_occupancy
Li1 Li 0.172 0.172 0.000 1
Cl1 Cl 0.191 0.809 0.000 1

***

(4)
# Li3Cl | the Alexandria database | GGA-PBE | relaxed
# **Calculated volume**: 20.21 A^3/atom
# **Energy relative to the elements, uncorrected**: -438 meV per atom
# **Energy above the lowest structure with this stoichiometry**: 1.35 eV per formula unit
data_Li3Cl
_symmetry_space_group_name_H-M 'R -3 m'
_symmetry_Int_Tables_number 166
_symmetry_space_group_name_Hall '-R 3 2"'
_cell_length_a 9.2508
_cell_length_b 9.2508
_cell_length_c 3.2729
_cell_angle_alpha 90.00
_cell_angle_beta 90.00
_cell_angle_gamma 120.00
loop_
_atom_site_label
_atom_site_type_symbol
_atom_site_fract_x
_atom_site_fract_y
_atom_site_fract_z
_atom_site_occupancy
Li1 Li 0.0000 0.5000 0.0000 1
Cl1 Cl 0.0000 0.0000 0.0000 1

***

(5)
# LiCl | the Alexandria database | GGA-PBE | relaxed
# **Calculated volume**: 24.84 A^3/atom
# **Energy relative to the elements, uncorrected**: -1803 meV per atom
data_LiCl
_symmetry_space_group_name_H-M 'I 4/m'
_symmetry_Int_Tables_number 87
_symmetry_space_group_name_Hall '-I 4'
_cell_length_a 9.955
_cell_length_b 9.955
_cell_length_c 4.010
_cell_angle_alpha 90.00
_cell_angle_beta 90.00
_cell_angle_gamma 90.00
loop_
_atom_site_label
_atom_site_type_symbol
_atom_site_fract_x
_atom_site_fract_y
_atom_site_fract_z
_atom_site_occupancy
Li1 Li 0.134 0.704 0.000 1
Cl1 Cl 0.103 0.281 0.000 1

***

(6)
# Li3Cl | the Alexandria database | GGA-PBE | relaxed
# **Calculated volume**: 22.52 A^3/atom
# **Energy relative to the elements, uncorrected**: -695 meV per atom
# **Energy above the lowest structure with this stoichiometry**: 0.33 eV per formula unit
data_Li3Cl
_symmetry_space_group_name_H-M 'P m m n'
_symmetry_Int_Tables_number 59
_cell_length_a 4.579
_cell_length_b 5.614
_cell_length_c 7.008
_cell_angle_alpha 90.00
_cell_angle_beta 90.00
_cell_angle_gamma 90.00
loop_
_symmetry_equiv_pos_as_xyz
'x,y,z'
'-x,-y,-z'
'-x+1/2,-y+1/2,z'
'x+1/2,y+1/2,-z'
'x+1/2,-y,-z'
'-x+1/2,y,z'
'-x,y+1/2,-z'
'x,-y+1/2,z'
loop_
_atom_site_label
_atom_site_type_symbol
_atom_site_fract_x
_atom_site_fract_y
_atom_site_fract_z
_atom_site_occupancy
Li1 Li 0.250 0.007 0.117 1
Li2 Li 0.250 0.750 0.691 1
Cl1 Cl 0.250 0.250 0.404 1

***

(7)
# Na2LiLuCl6 | the Alexandria database | GGA-PBE | relaxed
# **Calculated volume**: 26.16 A^3/atom
# **Energy relative to the elements, uncorrected**: -1889 meV per atom
data_Na2LiLuCl6
_symmetry_space_group_name_H-M 'F m -3 m'
_symmetry_Int_Tables_number 225
_symmetry_space_group_name_Hall '-F 4 2 3'
_cell_length_a 10.152
_cell_length_b 10.152
_cell_length_c 10.152
_cell_angle_alpha 90.00
_cell_angle_beta 90.00
_cell_angle_gamma 90.00
loop_
_atom_site_label
_atom_site_type_symbol
_atom_site_fract_x
_atom_site_fract_y
_atom_site_fract_z
_atom_site_occupancy
Na1 Na 0.250 0.250 0.250 1
Li1 Li 0.000 0.000 0.000 1
Lu1 Lu 0.000 0.000 0.500 1
Cl1 Cl 0.000 0.000 0.248 1